Record 1
Density functional theory data (GGA-PBE) for a geometry-optimized TbNpP2 structure.

```
8
Lattice="-1.0976 4.1541 3.6501 -4.6806 1.2838 -2.8685 -0.0621 -6.3157 2.8151" Properties=species:S:1:pos:R:3 pbc="T T T"
Tb -2.8891 2.7189 0.3908
Tb -3.8159 -1.1565 0.1687
Np -2.0244 0.2786 3.4280
Np 0.0000 0.0000 0.0000
P -4.3908 0.8888 2.0221
P -0.5749 2.0453 1.8534
P -1.4496 -1.7666 1.5747
P -3.4740 -1.4880 5.0027
```

Values from the calculation:
Excess energy over the best structure of this formula in the dataset, eV per atom: 0.000
E_tot, eV per atom: -8.337
Energy relative to the elements, eV per atom: -1.239



Record 2
Density functional theory data (GGA-PBE) for a geometry-optimized NdZnBi2 structure.

```
4
Lattice="4.4704 0.0000 0.0000 2.2352 3.8715 0.0000 2.2352 1.2905 7.0846" Properties=species:S:1:pos:R:3 pbc="T T T"
Zn 0.0000 0.0000 0.0000
Nd 4.4704 2.5810 3.5423
Bi 2.2352 1.2905 1.5245
Bi 6.7057 3.8715 5.5601
```

Values from the calculation:
E_tot, eV per atom: -3.616
Energy relative to the elements, eV per atom: -0.165



Record 3
Density functional theory data (GGA-PBE) for a geometry-optimized La2Ho8Tm structure.

```
11
Lattice="5.5772 -0.5449 -0.3806 0.7321 9.6611 2.4604 0.7321 5.6349 8.2242" Properties=species:S:1:pos:R:3 pbc="T T T"
La 4.5723 3.9385 2.7511
La 2.4691 10.8126 7.5529
Ho 2.0191 4.6217 5.2242
Ho 2.0191 6.4956 2.5415
Ho 5.0222 10.1294 5.0798
Ho 2.1164 8.1966 5.7255
Ho 5.0222 8.2555 7.7625
Ho 1.5673 2.6547 1.8544
Ho 5.4741 12.0963 8.4496
Ho 4.9250 6.5545 4.5785
Tm 0.0000 0.0000 0.0000
```

Values from the calculation:
Excess energy over the best structure of this formula in the dataset, eV per atom: 0.153
E_tot, eV per atom: -4.447
Energy relative to the elements, eV per atom: 0.185



Record 4
Density functional theory data (GGA-PBE) for a geometry-optimized TaZnHg2 structure.

```
4
Lattice="-5.1055 -1.4636 0.3018 -1.9363 -1.8000 -4.6163 4.3429 -1.0881 2.8730" Properties=species:S:1:pos:R:3 pbc="T T T"
Hg 0.0000 0.0000 0.0000
Hg -3.5209 -1.6318 -2.1572
Ta -0.5571 -2.2600 -1.9502
Zn -2.1417 -2.0917 0.5088
```

Values from the calculation:
E_tot, eV per atom: -2.934
Energy relative to the elements, eV per atom: 0.499



Q: Look up the energy relative to the elements of the first one.
A: -1.239 eV per atom



Copy entry 4 word for word.
Density functional theory data (GGA-PBE) for a geometry-optimized TaZnHg2 structure.

```
4
Lattice="-5.1055 -1.4636 0.3018 -1.9363 -1.8000 -4.6163 4.3429 -1.0881 2.8730" Properties=species:S:1:pos:R:3 pbc="T T T"
Hg 0.0000 0.0000 0.0000
Hg -3.5209 -1.6318 -2.1572
Ta -0.5571 -2.2600 -1.9502
Zn -2.1417 -2.0917 0.5088
```

Values from the calculation:
E_tot, eV per atom: -2.934
Energy relative to the elements, eV per atom: 0.499



Q: Among the records above, which one has the lowest E_tot?
A: TbNpP2



Q: Which of these has the lowest E_tot?
A: TbNpP2